Record 1
The following is a GGA-PBE calculation of a relaxed structure of NiAgTeN2, from Alexandria via LeMat-Bulk.

Cell: 3.981 3.981 6.309 Å, 90.00 90.00 90.00°
Last column: magnetic moment on the atom in μB.
Atoms (fractional coordinates):
Ag 0.000 0.000 0.000  0.25
Te 0.000 0.000 0.500  0.18
Ni 0.500 0.500 0.500  0.70
N 0.000 0.500 0.000  1.13
N 0.500 0.000 0.000  1.13

Results
energy above the lowest structure with this stoichiometry: 636 meV per atom
formation energy from raw total energies: 1.9188 eV per atom
D(E_F): 1.13 states/eV per atom


Record 2
The following is a GGA-PBE calculation of a relaxed structure of DyTm3Se4, from Alexandria via LeMat-Bulk.

Cell: 5.702 5.702 5.702 Å, 90.00 90.00 90.00°
Atoms (fractional coordinates):
Tm 0.500 0.000 0.500
Tm 0.500 0.500 0.000
Tm 0.000 0.500 0.500
Se 0.000 0.000 0.500
Se 0.500 0.000 0.000
Se 0.500 0.500 0.500
Se 0.000 0.500 0.000
Dy 0.000 0.000 0.000

Results
energy above the lowest structure with this stoichiometry: 15 meV per atom
formation energy from raw total energies: -1.6669 eV per atom
D(E_F): 0.64 states/eV per atom


Record 3
The following is a GGA-PBE calculation of a relaxed structure of LaPr4Si4, from Alexandria via LeMat-Bulk.

Cell: 6.052 9.256 9.256 Å, 90.00 90.00 90.00°
Atoms (fractional coordinates):
Pr 0.368 0.692 0.082
Pr 0.368 0.308 0.918
Pr 0.632 0.082 0.308
Pr 0.132 0.808 0.418
Pr 0.132 0.192 0.582
Pr 0.868 0.582 0.808
Pr 0.632 0.918 0.692
Pr 0.868 0.418 0.192
Si 0.357 0.638 0.768
Si 0.143 0.138 0.268
Si 0.643 0.768 0.362
Si 0.143 0.862 0.732
Si 0.857 0.732 0.138
Si 0.643 0.232 0.638
Si 0.857 0.268 0.862
Si 0.357 0.362 0.232
La 0.000 0.000 0.000
La 0.500 0.500 0.500

Results
formation energy from raw total energies: -0.4258 eV per atom
D(E_F): 1.09 states/eV per atom